# 1
DFT (GGA-PBE) results for SrTe2Se after structural relaxation.

a = 4.4274 Å, b = 4.4274 Å, c = 12.2512 Å
α = 90.00°, β = 90.00°, γ = 90.00°
Closest atoms and distances in Å follow each position.
Positions (direct):
Sr 0.0000 0.0000 0.0000  4 Se 3.13
Sr 0.5000 0.5000 0.5000  4 Se 3.13
Te 0.0000 0.5000 0.2500  4 Te 3.13
Te 0.0000 0.5000 0.7500  4 Te 3.13
Te 0.5000 0.0000 0.2500  4 Te 3.13
Te 0.5000 0.0000 0.7500  4 Te 3.13
Se 0.0000 0.0000 0.5000  4 Sr 3.13
Se 0.5000 0.5000 0.0000  4 Sr 3.13

Spin magnetization, μB per formula unit: 0.0
Space group: I4/mmm
Volume, Å³/cell: 240.1
Raw total energy, eV/atom: -3.64



# 2
DFT (GGA-PBE) results for BaVBi2Au after structural relaxation.

a = 5.1860 Å, b = 5.1860 Å, c = 6.5944 Å
α = 90.00°, β = 90.00°, γ = 90.00°
Closest atoms and distances in Å follow each position.
Positions (direct):
Ba 0.0000 0.0000 0.0000  2 V 3.30, 4 Au 3.67
V 0.0000 0.0000 0.5000  4 Bi 2.59
Bi 0.0000 0.5000 0.5000  2 V 2.59
Bi 0.5000 0.0000 0.5000  2 V 2.59
Au 0.5000 0.5000 0.0000  4 Ba 3.67

Spin magnetization, μB per formula unit: 1.9
Space group: P4/mmm
Volume, Å³/cell: 177.4
Energy relative to the elements, eV/atom: 0.127



# 3
DFT (GGA-PBE) results for LiTeMo2 after structural relaxation.

a = 3.2902 Å, b = 4.8439 Å, c = 9.1082 Å
α = 90.00°, β = 90.00°, γ = 90.00°
Closest atoms and distances in Å follow each position.
Positions (direct):
Li 0.0000 0.0000 0.0000  4 Mo 2.86, 4 Li 2.93
Li 0.5000 0.5000 0.0000  4 Mo 2.86, 4 Li 2.93
Te 0.0000 0.0000 0.5000  4 Mo 2.76, 4 Te 2.93
Te 0.5000 0.5000 0.5000  4 Mo 2.76, 4 Te 2.93
Mo 0.0000 0.5000 0.2562  2 Te 2.76, 2 Li 2.86, 4 Mo 2.93
Mo 0.0000 0.5000 0.7438  2 Te 2.76, 2 Li 2.86, 4 Mo 2.93
Mo 0.5000 0.0000 0.2562  2 Te 2.76, 2 Li 2.86, 4 Mo 2.93
Mo 0.5000 0.0000 0.7438  2 Te 2.76, 2 Li 2.86, 4 Mo 2.93

Spin magnetization, μB per formula unit: 0.0
Space group: Cmmm
Volume, Å³/cell: 145.2
Raw total energy, eV/atom: -5.81



# 4
DFT (GGA-PBE) results for Tb5Al2Sn after structural relaxation.

a = 8.8597 Å, b = 8.8597 Å, c = 8.8597 Å
α = 125.92°, β = 125.92°, γ = 80.02°
Closest atoms and distances in Å follow each position.
Positions (direct):
Tb 0.0000 0.0000 0.0000  4 Al 3.19, 2 Sn 3.39
Tb 0.0186 0.5186 0.8310  3 Al 3.09-3.11, 2 Sn 3.32, 1 Tb 3.40
Tb 0.1876 0.0186 0.5000  3 Al 3.09-3.11, 2 Sn 3.32, 1 Tb 3.40
Tb 0.3124 0.8124 0.8310  3 Al 3.09-3.11, 2 Sn 3.32, 1 Tb 3.40
Tb 0.4814 0.3124 0.5000  3 Al 3.09-3.11, 2 Sn 3.32, 1 Tb 3.40
Tb 0.5000 0.5000 0.0000  4 Al 3.19, 2 Sn 3.39
Tb 0.5186 0.6876 0.5000  3 Al 3.09-3.11, 2 Sn 3.32, 1 Tb 3.40
Tb 0.6876 0.1876 0.1690  3 Al 3.09-3.11, 2 Sn 3.32, 1 Tb 3.40
Tb 0.8124 0.9814 0.5000  3 Al 3.09-3.11, 2 Sn 3.32, 1 Tb 3.40
Tb 0.9814 0.4814 0.1690  3 Al 3.09-3.11, 2 Sn 3.32, 1 Tb 3.40
Al 0.1248 0.3752 0.5000  1 Al 2.84, 6 Tb 3.09-3.11
Al 0.3752 0.8752 0.2504  1 Al 2.84, 6 Tb 3.09-3.11
Al 0.6248 0.1248 0.7496  1 Al 2.84, 6 Tb 3.09-3.11
Al 0.8752 0.6248 0.5000  1 Al 2.84, 6 Tb 3.09-3.11
Sn 0.2500 0.2500 0.0000  10 Tb 3.32-3.39
Sn 0.7500 0.7500 0.0000  10 Tb 3.32-3.39

Spin magnetization, μB per formula unit: 0.0
Space group: I4/mcm
Volume, Å³/cell: 440.3
Energy relative to the elements, eV/atom: -0.440



# 5
DFT (GGA-PBE) results for K2HgPt after structural relaxation.

a = 8.3725 Å, b = 4.8320 Å, c = 7.9316 Å
α = 90.00°, β = 110.78°, γ = 90.00°
Closest atoms and distances in Å follow each position.
Positions (direct):
K 0.0000 0.0000 0.0000  3 Pt 3.41, 3 Hg 3.42
K 0.1790 0.0000 0.5324  3 Hg 3.42, 3 Pt 3.43
K 0.5000 0.5000 0.0000  3 Pt 3.41, 3 Hg 3.42
K 0.6790 0.5000 0.5324  3 Hg 3.42, 3 Pt 3.43
Hg 0.2562 0.5000 0.2667  3 Pt 2.79
Hg 0.7562 0.0000 0.2667  3 Pt 2.79
Pt 0.4220 0.0000 0.2643  3 Hg 2.79
Pt 0.9220 0.5000 0.2643  3 Hg 2.79

Spin magnetization, μB per formula unit: 0.0
Space group: Cm
Volume, Å³/cell: 300.0
Energy relative to the elements, eV/atom: -0.152



# 6
DFT (GGA-PBE) results for ScTcAgTe2 after structural relaxation.

a = 5.1563 Å, b = 5.1563 Å, c = 5.0620 Å
α = 90.00°, β = 90.00°, γ = 90.00°
Closest atoms and distances in Å follow each position.
Positions (direct):
Sc 0.0000 0.0000 0.0000  8 Te 3.61, 4 Ag 3.65
Tc 0.5000 0.5000 0.5000  2 Ag 2.53, 4 Te 2.58
Ag 0.5000 0.5000 0.0000  2 Tc 2.53
Te 0.0000 0.5000 0.5000  2 Tc 2.58
Te 0.5000 0.0000 0.5000  2 Tc 2.58

Spin magnetization, μB per formula unit: 0.0
Space group: P4/mmm
Volume, Å³/cell: 134.6
Raw total energy, eV/atom: -4.72



# 7
DFT (GGA-PBE) results for AlCrCuAu after structural relaxation.

a = 6.1653 Å, b = 6.1653 Å, c = 6.1653 Å
α = 90.00°, β = 90.00°, γ = 90.00°
Closest atoms and distances in Å follow each position.
Positions (direct):
Al 0.0000 0.0000 0.0000  4 Cr 2.67, 4 Au 2.67
Al 0.0000 0.5000 0.5000  4 Cr 2.67, 4 Au 2.67
Al 0.5000 0.0000 0.5000  4 Cr 2.67, 4 Au 2.67
Al 0.5000 0.5000 0.0000  4 Cr 2.67, 4 Au 2.67
Cr 0.2500 0.2500 0.2500  4 Al 2.67, 4 Cu 2.67
Cr 0.2500 0.7500 0.7500  4 Al 2.67, 4 Cu 2.67
Cr 0.7500 0.2500 0.7500  4 Al 2.67, 4 Cu 2.67
Cr 0.7500 0.7500 0.2500  4 Al 2.67, 4 Cu 2.67
Cu 0.0000 0.0000 0.5000  4 Cr 2.67, 4 Au 2.67
Cu 0.0000 0.5000 0.0000  4 Cr 2.67, 4 Au 2.67
Cu 0.5000 0.0000 0.0000  4 Cr 2.67, 4 Au 2.67
Cu 0.5000 0.5000 0.5000  4 Cr 2.67, 4 Au 2.67
Au 0.2500 0.2500 0.7500  4 Al 2.67, 4 Cu 2.67
Au 0.2500 0.7500 0.2500  4 Al 2.67, 4 Cu 2.67
Au 0.7500 0.2500 0.2500  4 Al 2.67, 4 Cu 2.67
Au 0.7500 0.7500 0.7500  4 Al 2.67, 4 Cu 2.67

Spin magnetization, μB per formula unit: 3.3
Space group: F-43m
Volume, Å³/cell: 234.4
Energy relative to the elements, eV/atom: -0.043



# 8
DFT (GGA-PBE) results for Sm2Al3SiAu4 after structural relaxation.

a = 4.3860 Å, b = 4.3860 Å, c = 10.3768 Å
α = 90.00°, β = 90.00°, γ = 90.00°
Closest atoms and distances in Å follow each position.
Positions (direct):
Sm 0.0000 0.5000 0.2468  8 Au 3.34-3.42, 6 Al 3.35-3.37, 2 Si 3.37
Sm 0.5000 0.0000 0.7532  8 Au 3.34-3.42, 6 Al 3.35-3.37, 2 Si 3.37
Al 0.0000 0.0000 0.0000  4 Au 2.56
Al 0.0000 0.5000 0.6320  5 Au 2.51-2.59
Al 0.5000 0.0000 0.3680  5 Au 2.51-2.59
Si 0.5000 0.5000 0.0000  4 Au 2.56
Au 0.0000 0.0000 0.5000  4 Al 2.59
Au 0.0000 0.5000 0.8736  3 Al 2.51-2.56, 2 Si 2.56
Au 0.5000 0.0000 0.1264  3 Al 2.51-2.56, 2 Si 2.56
Au 0.5000 0.5000 0.5000  4 Al 2.59

Spin magnetization, μB per formula unit: 0.0
Space group: P-4m2
Volume, Å³/cell: 199.6
Raw total energy, eV/atom: -4.60



# 9
DFT (GGA-PBE) results for CaReBr2 after structural relaxation.

a = 3.7128 Å, b = 3.8892 Å, c = 7.0244 Å
α = 90.00°, β = 90.00°, γ = 90.00°
Closest atoms and distances in Å follow each position.
Positions (direct):
Ca 0.0000 0.0000 0.0000  5 Br 2.91-3.04, 4 Re 3.11
Re 0.5000 0.5000 0.2239  1 Br 2.69
Br 0.0000 0.0000 0.4323  1 Ca 3.04, 4 Re 3.06
Br 0.5000 0.5000 0.8404  1 Re 2.69, 4 Ca 2.91

Spin magnetization, μB per formula unit: 3.0
Space group: Pmm2
Volume, Å³/cell: 101.4
Raw total energy, eV/atom: -4.21



# 10
DFT (GGA-PBE) results for NaH2F3 after structural relaxation.

a = 5.3472 Å, b = 7.2362 Å, c = 3.4302 Å
α = 90.00°, β = 90.00°, γ = 90.00°
Closest atoms and distances in Å follow each position.
Positions (direct):
Na 0.0000 0.0000 0.0000  4 F 2.26-2.27
Na 0.5000 0.5000 0.0000  4 F 2.26-2.27
H 0.0000 0.3407 0.3999  1 F 1.05
H 0.0000 0.6593 0.3999  1 F 1.05
H 0.5000 0.1593 0.3999  1 F 1.05
H 0.5000 0.8407 0.3999  1 F 1.05
F 0.0000 0.2039 0.5019  1 H 1.05
F 0.0000 0.5000 0.2317  2 H 1.29
F 0.0000 0.7961 0.5019  1 H 1.05
F 0.5000 0.0000 0.2317  2 H 1.29
F 0.5000 0.2961 0.5019  1 H 1.05
F 0.5000 0.7039 0.5019  1 H 1.05

Spin magnetization, μB per formula unit: 0.0
Space group: Cmm2
Volume, Å³/cell: 132.7
Raw total energy, eV/atom: -4.29



# 11
DFT (GGA-PBE) results for LiPrAlZn2 after structural relaxation.

a = 4.3701 Å, b = 4.3701 Å, c = 10.4828 Å
α = 90.00°, β = 90.00°, γ = 90.00°
Closest atoms and distances in Å follow each position.
Positions (direct):
Li 0.0000 0.0000 0.0000  4 Zn 2.59
Li 0.5000 0.5000 0.5000  4 Zn 2.59
Pr 0.0000 0.5000 0.2500  8 Zn 3.33, 4 Li 3.41, 4 Al 3.41
Pr 0.5000 0.0000 0.7500  8 Zn 3.33, 4 Li 3.41, 4 Al 3.41
Al 0.0000 0.0000 0.5000  4 Zn 2.59
Al 0.5000 0.5000 0.0000  4 Zn 2.59
Zn 0.0000 0.5000 0.6319  1 Zn 2.48, 2 Li 2.59, 2 Al 2.59
Zn 0.0000 0.5000 0.8681  1 Zn 2.48, 2 Li 2.59, 2 Al 2.59
Zn 0.5000 0.0000 0.1319  1 Zn 2.48, 2 Li 2.59, 2 Al 2.59
Zn 0.5000 0.0000 0.3681  1 Zn 2.48, 2 Li 2.59, 2 Al 2.59

Spin magnetization, μB per formula unit: 0.0
Space group: I-4m2
Volume, Å³/cell: 200.2
Energy relative to the elements, eV/atom: -0.292



# 12
DFT (GGA-PBE) results for Cd2SbPt2 after structural relaxation.

a = 3.8691 Å, b = 3.8691 Å, c = 13.6890 Å
α = 90.00°, β = 90.00°, γ = 90.00°
Closest atoms and distances in Å follow each position.
Positions (direct):
Cd 0.0000 0.5000 0.2500  4 Cd 2.74, 4 Pt 2.85
Cd 0.0000 0.5000 0.7500  4 Cd 2.74, 4 Pt 2.85
Cd 0.5000 0.0000 0.2500  4 Cd 2.74, 4 Pt 2.85
Cd 0.5000 0.0000 0.7500  4 Cd 2.74, 4 Pt 2.85
Sb 0.0000 0.0000 0.0000  8 Pt 3.04
Sb 0.5000 0.5000 0.5000  8 Pt 3.04
Pt 0.0000 0.0000 0.4030  1 Pt 2.66, 4 Cd 2.85
Pt 0.0000 0.0000 0.5970  1 Pt 2.66, 4 Cd 2.85
Pt 0.5000 0.5000 0.0970  1 Pt 2.66, 4 Cd 2.85
Pt 0.5000 0.5000 0.9030  1 Pt 2.66, 4 Cd 2.85

Spin magnetization, μB per formula unit: 0.0
Space group: I4/mmm
Volume, Å³/cell: 204.9
Raw total energy, eV/atom: -3.71



Copy entry 2 word for word.
DFT (GGA-PBE) results for BaVBi2Au after structural relaxation.

a = 5.1860 Å, b = 5.1860 Å, c = 6.5944 Å
α = 90.00°, β = 90.00°, γ = 90.00°
Closest atoms and distances in Å follow each position.
Positions (direct):
Ba 0.0000 0.0000 0.0000  2 V 3.30, 4 Au 3.67
V 0.0000 0.0000 0.5000  4 Bi 2.59
Bi 0.0000 0.5000 0.5000  2 V 2.59
Bi 0.5000 0.0000 0.5000  2 V 2.59
Au 0.5000 0.5000 0.0000  4 Ba 3.67

Spin magnetization, μB per formula unit: 1.9
Space group: P4/mmm
Volume, Å³/cell: 177.4
Energy relative to the elements, eV/atom: 0.127